Below is an optimized crystal structure of Pm4C2OF, with properties calculated at the PBE level.

Calculated values
Uncorrected energy (eV per atom): -7.056
Fermi-level density of states (states/eV/cell): 2.0

The structure in extended XYZ format:
```
8
Lattice="-3.1223 -0.0205 -1.9436 2.6938 -3.8946 -4.2864 -2.7948 -3.4448 4.5261" Properties=species:S:1:pos:R:3 pbc="T T T"
O 0.0000 0.0000 0.0000
Pm -1.4110 -3.4481 2.3032
Pm 1.3101 -3.8913 -2.0635
Pm -1.6265 -1.8708 -0.8472
Pm -1.5968 -5.4891 -0.8567
C -2.9585 -1.7326 1.2913
C -0.0505 -3.6697 0.1198
F -0.2142 -1.9576 -3.1150
```